1.
# NdHoCo2Si4

NdHoCo2Si4 after structural relaxation (GGA-PBE, OQMD).

Geometry as POSCAR:
```
NdHoCo2Si4
1.0
3.9904 0.0000 0.0000
0.0000 2.0334 8.1451
0.0000 -2.0334 8.1451
Nd Ho Co Si
1 1 2 4
direct
0.0000 0.0000 0.0000 Nd
0.5000 0.7847 0.7847 Ho
0.0000 0.2143 0.2143 Co
0.5000 0.5737 0.5737 Co
0.0000 0.3490 0.3490 Si
0.0000 0.6454 0.6454 Si
0.5000 0.1449 0.1449 Si
0.5000 0.4346 0.4346 Si
```

Results
Total DFT energy (no corrections)   -51.35 eV for the cell shown

=====

2.
# NdHoCo2Si2

NdHoCo2Si2 after structural relaxation (GGA-PBE, OQMD).

Geometry as POSCAR:
```
NdHoCo2Si2
1.0
3.9868 0.0000 0.0000
0.0000 3.9868 0.0000
0.0000 0.0000 6.9249
Nd Ho Co Si
1 1 2 2
direct
0.0000 0.0000 0.0000 Nd
0.5000 0.5000 0.3731 Ho
0.0000 0.5000 0.6703 Co
0.5000 0.0000 0.6703 Co
0.0000 0.0000 0.4929 Si
0.5000 0.5000 0.8451 Si
```

Results
Total DFT energy (no corrections)   -38.68 eV for the cell shown

=====

3.
# NdHoCo2Sn4

NdHoCo2Sn4 after structural relaxation (GGA-PBE, OQMD).

Geometry as POSCAR:
```
NdHoCo2Sn4
1.0
4.4949 0.0000 0.0000
0.0000 2.2036 9.0867
0.0000 -2.2036 9.0867
Nd Ho Co Sn
1 1 2 4
direct
0.0000 0.0000 0.0000 Nd
0.5000 0.7752 0.7752 Ho
0.0000 0.2077 0.2077 Co
0.5000 0.5699 0.5699 Co
0.0000 0.3399 0.3399 Sn
0.0000 0.6384 0.6384 Sn
0.5000 0.1407 0.1407 Sn
0.5000 0.4361 0.4361 Sn
```

Results
Total DFT energy (no corrections)   -42.90 eV for the cell shown

=====

4.
# NdHoTlCo2

NdHoTlCo2 after structural relaxation (GGA-PBE, OQMD).

Geometry as POSCAR:
```
NdHoTlCo2
1.0
3.9136 0.0000 0.0000
0.0000 1.9289 7.0661
0.0000 -1.9289 7.0661
Nd Ho Tl Co
1 1 1 2
direct
0.0000 0.0000 0.0000 Nd
0.0000 0.7212 0.7212 Ho
0.5000 0.3572 0.3572 Tl
0.5000 0.1568 0.1568 Co
0.5000 0.5747 0.5747 Co
```

Results
Total DFT energy (no corrections)   -27.14 eV for the cell shown

=====

5.
# NdHoZnCo2

NdHoZnCo2 after structural relaxation (GGA-PBE, OQMD).

Geometry as POSCAR:
```
NdHoZnCo2
1.0
-2.0595 2.7482 4.1438
2.0595 -2.7482 4.1438
2.0595 2.7482 -4.1438
Nd Ho Zn Co
1 1 1 2
direct
0.0000 0.0000 0.0000 Nd
0.5827 0.5827 0.0000 Ho
0.2931 0.7931 0.5000 Zn
0.5780 0.2872 0.2908 Co
0.9964 0.2872 0.7092 Co
```

Results
Total DFT energy (no corrections)   -25.99 eV for the cell shown
Energy relative to the elements   -0.23 eV per atom

=====

6.
# HoCoNi

HoCoNi after structural relaxation (GGA-PBE, OQMD).

Geometry as POSCAR:
```
HoCoNi
1.0
0.0000 3.0014 3.0014
3.0014 0.0000 3.0014
3.0014 3.0014 0.0000
Ho Co Ni
1 1 1
direct
0.0000 0.0000 0.0000 Ho
0.5000 0.5000 0.5000 Co
0.7500 0.7500 0.7500 Ni
```

Results
Total DFT energy (no corrections)   -16.84 eV for the cell shown
Energy relative to the elements   0.14 eV per atom

=====

7.
# Ho3Co8Ni

Ho3Co8Ni after structural relaxation (GGA-PBE, OQMD).

Geometry as POSCAR:
```
Ho3Co8Ni
1.0
2.4532 1.4164 8.1522
-2.4532 1.4164 8.1522
0.0000 -2.8327 8.1522
Ho Co Ni
3 8 1
direct
0.0000 0.0000 0.0000 Ho
0.1394 0.1394 0.1394 Ho
0.8606 0.8606 0.8606 Ho
0.0803 0.5812 0.5812 Co
0.3336 0.3336 0.3336 Co
0.4188 0.4188 0.9197 Co
0.4188 0.9197 0.4188 Co
0.5812 0.0803 0.5812 Co
0.5812 0.5812 0.0803 Co
0.6664 0.6664 0.6664 Co
0.9197 0.4188 0.4188 Co
0.5000 0.5000 0.5000 Ni
```

Results
Total DFT energy (no corrections)   -78.68 eV for the cell shown
Energy relative to the elements   -0.21 eV per atom

=====

8.
# Ho3CoNi8

Ho3CoNi8 after structural relaxation (GGA-PBE, OQMD).

Geometry as POSCAR:
```
Ho3CoNi8
1.0
2.4593 1.4199 8.1014
-2.4593 1.4199 8.1014
0.0000 -2.8398 8.1014
Ho Co Ni
3 1 8
direct
0.0000 0.0000 0.0000 Ho
0.1395 0.1395 0.1395 Ho
0.8605 0.8605 0.8605 Ho
0.5000 0.5000 0.5000 Co
0.0822 0.5825 0.5825 Ni
0.3331 0.3331 0.3331 Ni
0.4175 0.4175 0.9178 Ni
0.4175 0.9178 0.4175 Ni
0.5825 0.0822 0.5825 Ni
0.5825 0.5825 0.0822 Ni
0.6669 0.6669 0.6669 Ni
0.9178 0.4175 0.4175 Ni
```

Results
Total DFT energy (no corrections)   -70.06 eV for the cell shown
Energy relative to the elements   -0.39 eV per atom

=====

9.
# HoCo2Ni

HoCo2Ni after structural relaxation (GGA-PBE, OQMD).

Geometry as POSCAR:
```
HoCo2Ni
1.0
2.4447 1.4114 8.2140
-2.4447 1.4114 8.2140
0.0000 -2.8229 8.2140
Ho Co Ni
3 6 3
direct
0.0000 0.0000 0.0000 Ho
0.1391 0.1391 0.1391 Ho
0.8609 0.8609 0.8609 Ho
0.0805 0.5818 0.5818 Co
0.4182 0.4182 0.9195 Co
0.4182 0.9195 0.4182 Co
0.5818 0.0805 0.5818 Co
0.5818 0.5818 0.0805 Co
0.9195 0.4182 0.4182 Co
0.3334 0.3334 0.3334 Ni
0.5000 0.5000 0.5000 Ni
0.6666 0.6666 0.6666 Ni
```

Results
Total DFT energy (no corrections)   -76.25 eV for the cell shown
Energy relative to the elements   -0.27 eV per atom

=====

10.
# HoCoNiP2

HoCoNiP2 after structural relaxation (GGA-PBE, OQMD).

Geometry as POSCAR:
```
HoCoNiP2
1.0
-1.9200 1.9200 4.6541
1.9200 -1.9200 4.6541
1.9200 1.9200 -4.6541
Ho Co Ni P
1 1 1 2
direct
0.0000 0.0000 0.0000 Ho
0.2500 0.7500 0.5000 Co
0.7500 0.2500 0.5000 Ni
0.3757 0.3757 0.0000 P
0.6243 0.6243 0.0000 P
```

Results
Total DFT energy (no corrections)   -33.06 eV for the cell shown

=====

11.
# Ho2TlCoNi

Ho2TlCoNi after structural relaxation (GGA-PBE, OQMD).

Geometry as POSCAR:
```
Ho2TlCoNi
1.0
3.7050 0.0000 0.0000
0.0000 1.9205 7.1419
0.0000 -1.9205 7.1419
Ho Tl Co Ni
2 1 1 1
direct
0.0000 0.0000 0.0000 Ho
0.0000 0.2812 0.2812 Ho
0.5000 0.6396 0.6396 Tl
0.5000 0.4388 0.4388 Co
0.5000 0.8414 0.8414 Ni
```

Results
Total DFT energy (no corrections)   -26.04 eV for the cell shown

=====

12.
# YHo2Co2Ni7

YHo2Co2Ni7 after structural relaxation (GGA-PBE, OQMD).

Geometry as POSCAR:
```
YHo2Co2Ni7
1.0
2.4680 1.4249 8.0906
-2.4680 1.4249 8.0906
0.0000 -2.8498 8.0906
Y Ho Co Ni
1 2 2 7
direct
0.0000 0.0000 0.0000 Y
0.1389 0.1389 0.1389 Ho
0.8611 0.8611 0.8611 Ho
0.3329 0.3329 0.3329 Co
0.6671 0.6671 0.6671 Co
0.0815 0.5822 0.5822 Ni
0.4178 0.4178 0.9185 Ni
0.4178 0.9185 0.4178 Ni
0.5000 0.5000 0.5000 Ni
0.5822 0.0815 0.5822 Ni
0.5822 0.5822 0.0815 Ni
0.9185 0.4178 0.4178 Ni
```

Results
Total DFT energy (no corrections)   -73.06 eV for the cell shown
Energy relative to the elements   -0.35 eV per atom

=====

13.
# Y2HoCoNi8

Y2HoCoNi8 after structural relaxation (GGA-PBE, OQMD).

Geometry as POSCAR:
```
Y2HoCoNi8
1.0
2.4652 1.4233 8.0892
-2.4652 1.4233 8.0892
0.0000 -2.8466 8.0892
Y Ho Co Ni
2 1 1 8
direct
0.1391 0.1391 0.1391 Y
0.8609 0.8609 0.8609 Y
0.0000 0.0000 0.0000 Ho
0.5000 0.5000 0.5000 Co
0.0819 0.5821 0.5821 Ni
0.3329 0.3329 0.3329 Ni
0.4179 0.4179 0.9181 Ni
0.4179 0.9181 0.4179 Ni
0.5821 0.0819 0.5821 Ni
0.5821 0.5821 0.0819 Ni
0.6671 0.6671 0.6671 Ni
0.9181 0.4179 0.4179 Ni
```

Results
Total DFT energy (no corrections)   -73.55 eV for the cell shown
Energy relative to the elements   -0.37 eV per atom

=====

14.
# Y2HoCo7Ni2

Y2HoCo7Ni2 after structural relaxation (GGA-PBE, OQMD).

Geometry as POSCAR:
```
Y2HoCo7Ni2
1.0
2.4553 1.4176 8.1842
-2.4553 1.4176 8.1842
0.0000 -2.8352 8.1842
Y Ho Co Ni
2 1 7 2
direct
0.1395 0.1395 0.1395 Y
0.8605 0.8605 0.8605 Y
0.0000 0.0000 0.0000 Ho
0.0814 0.5812 0.5812 Co
0.4188 0.4188 0.9186 Co
0.4188 0.9186 0.4188 Co
0.5000 0.5000 0.5000 Co
0.5812 0.0814 0.5812 Co
0.5812 0.5812 0.0814 Co
0.9186 0.4188 0.4188 Co
0.3335 0.3335 0.3335 Ni
0.6665 0.6665 0.6665 Ni
```

Results
Total DFT energy (no corrections)   -80.91 eV for the cell shown
Energy relative to the elements   -0.21 eV per atom

=====

15.
# YHo2Co6Ni3

YHo2Co6Ni3 after structural relaxation (GGA-PBE, OQMD).

Geometry as POSCAR:
```
YHo2Co6Ni3
1.0
2.4455 1.4119 8.2071
-2.4455 1.4119 8.2071
0.0000 -2.8238 8.2071
Y Ho Co Ni
1 2 6 3
direct
0.0000 0.0000 0.0000 Y
0.1392 0.1392 0.1392 Ho
0.8608 0.8608 0.8608 Ho
0.0808 0.5820 0.5820 Co
0.4180 0.4180 0.9192 Co
0.4180 0.9192 0.4180 Co
0.5820 0.0808 0.5820 Co
0.5820 0.5820 0.0808 Co
0.9192 0.4180 0.4180 Co
0.3333 0.3333 0.3333 Ni
0.5000 0.5000 0.5000 Ni
0.6667 0.6667 0.6667 Ni
```

Results
Total DFT energy (no corrections)   -78.04 eV for the cell shown
Energy relative to the elements   -0.26 eV per atom

=====

16.
# Y2HoCo3Ni6

Y2HoCo3Ni6 after structural relaxation (GGA-PBE, OQMD).

Geometry as POSCAR:
```
Y2HoCo3Ni6
1.0
2.4653 1.4233 8.1263
-2.4653 1.4233 8.1263
0.0000 -2.8467 8.1263
Y Ho Co Ni
2 1 3 6
direct
0.1392 0.1392 0.1392 Y
0.8608 0.8608 0.8608 Y
0.0000 0.0000 0.0000 Ho
0.3329 0.3329 0.3329 Co
0.5000 0.5000 0.5000 Co
0.6671 0.6671 0.6671 Co
0.0825 0.5805 0.5805 Ni
0.4195 0.4195 0.9175 Ni
0.4195 0.9175 0.4195 Ni
0.5805 0.0825 0.5805 Ni
0.5805 0.5805 0.0825 Ni
0.9175 0.4195 0.4195 Ni
```

Results
Total DFT energy (no corrections)   -75.78 eV for the cell shown
Energy relative to the elements   -0.30 eV per atom

=====

17.
# Ho2ZnCoNi

Ho2ZnCoNi after structural relaxation (GGA-PBE, OQMD).

Geometry as POSCAR:
```
Ho2ZnCoNi
1.0
-2.0401 4.0508 2.7282
2.0401 -4.0508 2.7282
2.0401 4.0508 -2.7282
Ho Zn Co Ni
2 1 1 1
direct
0.2046 0.0000 0.2046 Ho
0.7954 0.0000 0.7954 Ho
0.5095 0.5095 0.0000 Zn
0.7832 0.2832 0.5000 Co
0.2288 0.7288 0.5000 Ni
```

Results
Total DFT energy (no corrections)   -25.11 eV for the cell shown
Energy relative to the elements   -0.40 eV per atom